# 1
9
Lattice="3.675 0.000 0.000 0.000 8.853 0.000 0.000 -4.426 7.667" Properties=species:S:1:pos:R:3 comment="Na3Tl3InHg2 (PBE, relaxed)" e_form_ev_per_atom=-0.15 spacegroup="No. 189" pbc="T T T"
Hg 1.837 4.426 2.556
Hg 1.837 0.000 5.111
Tl 1.837 -3.135 5.430
Tl 1.837 1.291 2.237
Tl 1.837 6.270 0.000
In 0.000 0.000 0.000
Na 0.000 3.375 0.000
Na 0.000 2.739 4.744
Na 0.000 -1.687 2.923

# 2
5
Lattice="4.599 0.000 0.000 0.000 4.881 0.000 0.000 0.000 4.599" Properties=species:S:1:pos:R:3 comment="GaP2IrBr (PBE, relaxed)" spacegroup="No. 123" e_form_raw_kcal_per_mol_atoms=31.888 pbc="T T T"
Ir 2.300 2.441 2.300
Ga 0.000 0.000 0.000
P 0.000 0.000 2.300
P 2.300 0.000 0.000
Br 0.000 2.441 0.000

Number 1: magnetic moment 0.0 μB/cell. Number 2: magnetic moment 0.7 μB/cell.